The following is a DFT calculation (PBE) of an optimized crystal structure of BaCuAsPt.

Results
* total magnetization: 0.00 μB/cell
* polymorph energy (0 for the lowest one): 0.161 eV per atom

Cell: 7.1515 7.1515 7.1515 Å, 90.00 90.00 90.00°
Sites, in units of the cell vectors:
Ba: 0.0000 0.0000 0.0000
Ba: 0.0000 0.5000 0.5000
Ba: 0.5000 0.0000 0.5000
Ba: 0.5000 0.5000 0.0000
Cu: 0.0000 0.0000 0.5000
Cu: 0.0000 0.5000 0.0000
Cu: 0.5000 0.0000 0.0000
Cu: 0.5000 0.5000 0.5000
As: 0.2500 0.2500 0.2500
As: 0.2500 0.7500 0.7500
As: 0.7500 0.2500 0.7500
As: 0.7500 0.7500 0.2500
Pt: 0.2500 0.2500 0.7500
Pt: 0.2500 0.7500 0.2500
Pt: 0.7500 0.2500 0.2500
Pt: 0.7500 0.7500 0.7500



The following is a DFT calculation (PBE) of an optimized crystal structure of BaCuAsPt.

Results
* total magnetization: 0.00 μB/cell
* polymorph energy (0 for the lowest one): 0.058 eV per atom

Cell: 7.0598 7.0598 7.0598 Å, 90.00 90.00 90.00°
Sites, in units of the cell vectors:
Ba: 0.0000 0.0000 0.0000
Ba: 0.0000 0.5000 0.5000
Ba: 0.5000 0.0000 0.5000
Ba: 0.5000 0.5000 0.0000
Cu: 0.2500 0.2500 0.2500
Cu: 0.2500 0.7500 0.7500
Cu: 0.7500 0.2500 0.7500
Cu: 0.7500 0.7500 0.2500
As: 0.0000 0.0000 0.5000
As: 0.0000 0.5000 0.0000
As: 0.5000 0.0000 0.0000
As: 0.5000 0.5000 0.5000
Pt: 0.2500 0.2500 0.7500
Pt: 0.2500 0.7500 0.2500
Pt: 0.7500 0.2500 0.2500
Pt: 0.7500 0.7500 0.7500



The following is a DFT calculation (PBE) of an optimized crystal structure of BaCuAsPt.

Results
* total magnetization: 0.04 μB/cell
* polymorph energy (0 for the lowest one): 0.000 eV per atom

Cell: 6.9914 6.9914 6.9914 Å, 90.00 90.00 90.00°
Sites, in units of the cell vectors:
Ba: 0.0000 0.0000 0.0000
Ba: 0.0000 0.5000 0.5000
Ba: 0.5000 0.0000 0.5000
Ba: 0.5000 0.5000 0.0000
Cu: 0.2500 0.2500 0.2500
Cu: 0.2500 0.7500 0.7500
Cu: 0.7500 0.2500 0.7500
Cu: 0.7500 0.7500 0.2500
As: 0.2500 0.2500 0.7500
As: 0.2500 0.7500 0.2500
As: 0.7500 0.2500 0.2500
As: 0.7500 0.7500 0.7500
Pt: 0.0000 0.0000 0.5000
Pt: 0.0000 0.5000 0.0000
Pt: 0.5000 0.0000 0.0000
Pt: 0.5000 0.5000 0.5000



The following is a DFT calculation (PBE) of an optimized crystal structure of BaCu2SbAs.

Results
* energy: -41.19 eV/cell

Cell: 4.6064 4.6064 10.5075 Å, 90.00 90.00 90.00°
Sites, in units of the cell vectors:
Ba: 0.2500 0.2500 0.2417
Ba: 0.7500 0.7500 0.7583
Cu: 0.2500 0.2500 0.8934
Cu: 0.2500 0.7500 0.5000
Cu: 0.7500 0.2500 0.5000
Cu: 0.7500 0.7500 0.1066
Sb: 0.2500 0.2500 0.6324
Sb: 0.7500 0.7500 0.3676
As: 0.2500 0.7500 0.0000
As: 0.7500 0.2500 0.0000



The following is a DFT calculation (PBE) of an optimized crystal structure of BaCuSi2As3.

Results
* energy: -133.22 eV/cell

Cell: 13.4386 10.5657 4.6093 Å, 90.00 90.00 90.00°
Sites, in units of the cell vectors:
Ba: 0.2472 0.2500 0.0027
Ba: 0.2528 0.7500 0.5027
Ba: 0.7472 0.2500 0.4973
Ba: 0.7528 0.7500 0.9973
Cu: 0.0404 0.2500 0.5650
Cu: 0.4596 0.7500 0.0650
Cu: 0.5404 0.2500 0.9350
Cu: 0.9596 0.7500 0.4350
Si: 0.0144 0.5599 0.7884
Si: 0.0144 0.9401 0.7884
Si: 0.4856 0.0599 0.2884
Si: 0.4856 0.4401 0.2884
Si: 0.5144 0.5599 0.7116
Si: 0.5144 0.9401 0.7116
Si: 0.9856 0.0599 0.2116
Si: 0.9856 0.4401 0.2116
As: 0.0726 0.7500 0.0134
As: 0.1355 0.0495 0.4988
As: 0.1355 0.4505 0.4988
As: 0.3645 0.5495 0.9988
As: 0.3645 0.9505 0.9988
As: 0.4274 0.2500 0.5134
As: 0.5726 0.7500 0.4866
As: 0.6355 0.0495 0.0012
As: 0.6355 0.4505 0.0012
As: 0.8645 0.5495 0.5012
As: 0.8645 0.9505 0.5012
As: 0.9274 0.2500 0.9866



The following is a DFT calculation (PBE) of an optimized crystal structure of BaSrCu2As4.

Results
* energy: -69.20 eV/cell

Cell: 4.6100 4.5893 17.0609 Å, 90.00 90.00 90.00°
Sites, in units of the cell vectors:
Ba: 0.0000 0.0000 0.0000
Ba: 0.0000 0.5000 0.5000
Sr: 0.5000 0.0000 0.2107
Sr: 0.5000 0.5000 0.7107
Cu: 0.0000 0.0000 0.7866
Cu: 0.0000 0.5000 0.2866
Cu: 0.5000 0.0000 0.4200
Cu: 0.5000 0.5000 0.9200
As: 0.0000 0.0000 0.3525
As: 0.0000 0.0000 0.6424
As: 0.0000 0.5000 0.1424
As: 0.0000 0.5000 0.8525
As: 0.5000 0.0000 0.5717
As: 0.5000 0.0000 0.8520
As: 0.5000 0.5000 0.0717
As: 0.5000 0.5000 0.3520



The following is a DFT calculation (PBE) of an optimized crystal structure of Ba2DyAs2.

Results
* total magnetization: 0.87 μB/cell
* energy: -46.00 eV/cell

Cell: 9.1235 9.1235 8.6303 Å, 90.00 90.00 150.20°
Sites, in units of the cell vectors:
Ba: 0.0550 0.9450 0.5000
Ba: 0.2058 0.7942 0.1708
Ba: 0.7942 0.2058 0.6708
Ba: 0.9450 0.0550 0.0000
Dy: 0.4110 0.5890 0.3659
Dy: 0.5890 0.4110 0.8659
As: 0.1706 0.8294 0.7995
As: 0.4481 0.5519 0.6914
As: 0.5519 0.4481 0.1914
As: 0.8294 0.1706 0.2995



The following is a DFT calculation (PBE) of an optimized crystal structure of BaDyHgAs2.

Results
* total magnetization: 0.01 μB/cell
* energy: -41.07 eV/cell

Cell: 9.3328 9.3328 7.3114 Å, 90.00 90.00 153.46°
Sites, in units of the cell vectors:
Ba: 0.1942 0.8058 0.5000
Ba: 0.8058 0.1942 0.0000
Dy: 0.0229 0.9771 0.1712
Dy: 0.9771 0.0229 0.6712
Hg: 0.3904 0.6096 0.3454
Hg: 0.6096 0.3904 0.8454
As: 0.1692 0.8308 0.0307
As: 0.4581 0.5419 0.9469
As: 0.5419 0.4581 0.4469
As: 0.8308 0.1692 0.5307



Q: Number 8 is which compound?
A: BaDyHgAs2



Please write out number 7 again, unchanged.
The following is a DFT calculation (PBE) of an optimized crystal structure of Ba2DyAs2.

Results
* total magnetization: 0.87 μB/cell
* energy: -46.00 eV/cell

Cell: 9.1235 9.1235 8.6303 Å, 90.00 90.00 150.20°
Sites, in units of the cell vectors:
Ba: 0.0550 0.9450 0.5000
Ba: 0.2058 0.7942 0.1708
Ba: 0.7942 0.2058 0.6708
Ba: 0.9450 0.0550 0.0000
Dy: 0.4110 0.5890 0.3659
Dy: 0.5890 0.4110 0.8659
As: 0.1706 0.8294 0.7995
As: 0.4481 0.5519 0.6914
As: 0.5519 0.4481 0.1914
As: 0.8294 0.1706 0.2995



Q: What is the formula in the third record?
A: BaCuAsPt